# 1
AsHSe: relaxed, GGA-PBE.

Calculated values
- Electronic total energy: -22.9 eV/cell
- Magnetic moment: 0.000 μB/f.u.
- SG: No. 2

a b c (Å): 3.7649 6.2849 6.4260
angles (deg): 90.69 92.26 102.34
Sites, in units of the cell vectors:
As1 0.2237 0.4477 0.3747
As2 0.7763 0.5523 0.6253
H1 0.0155 0.7501 0.0848
H2 0.9845 0.2499 0.9152
Se1 0.3673 0.8023 0.2099
Se2 0.6327 0.1977 0.7901

=====

# 2
LiAgHPd2: relaxed, GGA-PBE.

Calculated values
- Electronic total energy: -19.9 eV/cell
- Density of states at the Fermi level: 1.84 states/eV per cell
- Magnetic moment: 0.000 μB/f.u.
- SG: No. 123

a b c (Å): 3.9505 3.9505 4.0820
angles (deg): 90.00 90.00 90.00
Sites, in units of the cell vectors:
Li1 0.0000 0.0000 0.0000
Ag1 0.5000 0.5000 0.0000
H1 0.0000 0.0000 0.5000
Pd1 0.0000 0.5000 0.5000
Pd2 0.5000 0.0000 0.5000

=====

# 3
SbPSeCl2: relaxed, GGA-PBE.

Calculated values
- Density of states at the Fermi level: 5.41 states/eV per cell
- Magnetic moment: 0.172 μB/f.u.
- Formation energy (no corrections): 0.42 eV per atom
- SG: No. 123

a b c (Å): 5.0519 5.0519 5.7365
angles (deg): 90.00 90.00 90.00
Sites, in units of the cell vectors:
Sb1 0.0000 0.0000 0.0000
P1 0.0000 0.0000 0.5000
Se1 0.5000 0.5000 0.5000
Cl1 0.0000 0.5000 0.0000
Cl2 0.5000 0.0000 0.0000

=====

# 4
TbCe3Tl4S8: relaxed, GGA-PBE.

Calculated values
- Density of states at the Fermi level: 20.05 states/eV per cell
- Magnetic moment: 3.020 μB/f.u.
- Formation energy (no corrections): -1.42 eV per atom
- SG: No. 166

a b c (Å): 8.8955 8.8955 8.8955
angles (deg): 55.74 55.74 55.74
Sites, in units of the cell vectors:
Tb1 0.0000 0.0000 0.0000
Ce1 0.0000 0.5000 0.5000
Ce2 0.5000 0.0000 0.5000
Ce3 0.5000 0.5000 0.0000
Tl1 0.0000 0.0000 0.5000
Tl2 0.0000 0.5000 0.0000
Tl3 0.5000 0.0000 0.0000
Tl4 0.5000 0.5000 0.5000
S1 0.2302 0.2302 0.7393
S2 0.2302 0.7393 0.2302
S3 0.2607 0.7698 0.7698
S4 0.2659 0.2659 0.2659
S5 0.7341 0.7341 0.7341
S6 0.7393 0.2302 0.2302
S7 0.7698 0.2607 0.7698
S8 0.7698 0.7698 0.2607

=====

# 5
AlTe3Pt: relaxed, GGA-PBE.

Calculated values
- Density of states at the Fermi level: 6.80 states/eV per cell
- Magnetic moment: 0.000 μB/f.u.
- Formation energy (no corrections): 0.77 eV per atom
- SG: No. 221

a b c (Å): 5.1876 5.1876 5.1876
angles (deg): 90.00 90.00 90.00
Sites, in units of the cell vectors:
Al1 0.0000 0.0000 0.0000
Te1 0.0000 0.0000 0.5000
Te2 0.0000 0.5000 0.0000
Te3 0.5000 0.0000 0.0000
Pt1 0.5000 0.5000 0.5000

=====

# 6
Mg2FeCu: relaxed, GGA-PBE.

Calculated values
- Density of states at the Fermi level: 2.45 states/eV per cell
- ΔH_f (0 K): 0.126 eV/atom
- Magnetic moment: 2.577 μB/f.u.
- SG: No. 99

a b c (Å): 2.9306 2.9306 7.5191
angles (deg): 90.00 90.00 90.00
Sites, in units of the cell vectors:
Mg1 0.0000 0.0000 0.0000
Mg2 0.5000 0.5000 0.3291
Fe1 0.5000 0.5000 0.7552
Cu1 0.0000 0.0000 0.5639

=====

# 7
BaNi4As3: relaxed, GGA-PBE.

Calculated values
- Density of states at the Fermi level: 6.09 states/eV per cell
- ΔH_f (0 K): -0.489 eV/atom
- Magnetic moment: 0.000 μB/f.u.
- SG: No. 123

a b c (Å): 3.9300 3.9300 9.2729
angles (deg): 90.00 90.00 90.00
Sites, in units of the cell vectors:
Ba1 0.0000 0.0000 0.0000
Ni1 0.0000 0.5000 0.3524
Ni2 0.0000 0.5000 0.6476
Ni3 0.5000 0.0000 0.3524
Ni4 0.5000 0.0000 0.6476
As1 0.0000 0.0000 0.5000
As2 0.5000 0.5000 0.2125
As3 0.5000 0.5000 0.7875

=====

# 8
Th2GaO: relaxed, GGA-PBE.

Calculated values
- Density of states at the Fermi level: 5.77 states/eV per cell
- Magnetic moment: 0.002 μB/f.u.
- Formation energy (no corrections): -0.93 eV per atom
- SG: No. 166

a b c (Å): 9.6322 9.6322 9.6322
angles (deg): 20.75 20.75 20.75
Sites, in units of the cell vectors:
Th1 0.1105 0.1105 0.1105
Th2 0.8895 0.8895 0.8895
Ga1 0.0000 0.0000 0.0000
O1 0.5000 0.5000 0.5000

=====

# 9
TaRhI3: relaxed, GGA-PBE.

Calculated values
- Density of states at the Fermi level: 5.25 states/eV per cell
- Magnetic moment: 3.137 μB/f.u.
- Formation energy (no corrections): 1.06 eV per atom
- SG: No. 221

a b c (Å): 5.3146 5.3146 5.3146
angles (deg): 90.00 90.00 90.00
Sites, in units of the cell vectors:
Ta1 0.0000 0.0000 0.0000
Rh1 0.5000 0.5000 0.5000
I1 0.0000 0.5000 0.5000
I2 0.5000 0.0000 0.5000
I3 0.5000 0.5000 0.0000

=====

# 10
LaHo2Th: relaxed, GGA-PBE.

Calculated values
- Density of states at the Fermi level: 6.74 states/eV per cell
- ΔH_f (0 K): 0.118 eV/atom
- Magnetic moment: 0.001 μB/f.u.
- SG: No. 166

a b c (Å): 12.5593 12.5593 12.5593
angles (deg): 16.08 16.08 16.08
Sites, in units of the cell vectors:
La1 0.0000 0.0000 0.0000
Ho1 0.0920 0.0920 0.0920
Ho2 0.9080 0.9080 0.9080
Th1 0.5000 0.5000 0.5000

=====

# 11
Cr2OsPb: relaxed, GGA-PBE.

Calculated values
- Density of states at the Fermi level: 4.22 states/eV per cell
- ΔH_f (0 K): 0.643 eV/atom
- Magnetic moment: 0.206 μB/f.u.
- SG: No. 44

a b c (Å): 5.1168 5.1168 5.1168
angles (deg): 142.04 128.60 65.65
Sites, in units of the cell vectors:
Cr1 0.0000 0.0000 0.0000
Cr2 0.7894 0.2894 0.5000
Os1 0.2571 0.7571 0.5000
Pb1 0.5261 0.5261 0.0000

=====

# 12
Ac3Pr4Nd: relaxed, GGA-PBE.

Calculated values
- Density of states at the Fermi level: 27.53 states/eV per cell
- ΔH_f (0 K): 0.023 eV/atom
- Magnetic moment: 0.000 μB/f.u.
- SG: No. 53

a b c (Å): 10.8574 7.5963 7.5882
angles (deg): 90.00 90.00 90.00
Sites, in units of the cell vectors:
Ac1 0.0000 0.0000 0.0000
Ac2 0.2500 0.2559 0.2500
Ac3 0.2500 0.7441 0.7500
Ac4 0.5000 0.0000 0.5000
Ac5 0.7500 0.2559 0.2500
Ac6 0.7500 0.7441 0.7500
Pr1 0.0000 0.0000 0.5000
Pr2 0.0000 0.5000 0.0000
Pr3 0.2500 0.2510 0.7500
Pr4 0.2500 0.7490 0.2500
Pr5 0.5000 0.0000 0.0000
Pr6 0.5000 0.5000 0.5000
Pr7 0.7500 0.2510 0.7500
Pr8 0.7500 0.7490 0.2500
Nd1 0.0000 0.5000 0.5000
Nd2 0.5000 0.5000 0.0000

=====

> Look up the magnetic moment of the eleventh one.

0.206 μB/f.u.